--- w ---
Computed, not measured: CrAsSBr2 after structural relaxation at the PBE level of DFT.

Values from the calculation:
Total magnetic moment: 0.00 μB/cell
Mass density: 4.8 Mg/m³

Lattice parameters (Å, degrees): 4.655 4.655 5.077 90.00 90.00 90.00
Atoms (fractional coordinates):
Cr 0.000 0.000 0.000
As 0.000 0.000 0.500
S 0.500 0.500 0.500
Br 0.000 0.500 0.000
Br 0.500 0.000 0.000



--- x ---
Computed, not measured: CrAsSBr2 after structural relaxation at the PBE level of DFT.

Values from the calculation:
Total magnetic moment: 3.73 μB/cell
Mass density: 4.0 Mg/m³

Lattice parameters (Å, degrees): 5.221 5.221 4.905 90.00 90.00 90.00
Atoms (fractional coordinates):
Cr 0.500 0.500 0.500
As 0.000 0.000 0.500
S 0.000 0.000 0.000
Br 0.000 0.500 0.000
Br 0.500 0.000 0.000



Relative stability in meV/atom, measured from the most stable structure: w 0; x 209



--- w ---
Computed, not measured: CrAs2SeBr after structural relaxation at the PBE level of DFT.

Values from the calculation:
Total magnetic moment: 0.00 μB/cell
Mass density: 5.7 Mg/m³

Lattice parameters (Å, degrees): 4.790 4.790 4.584 90.00 90.00 90.00
Atoms (fractional coordinates):
Cr 0.000 0.000 0.000
As 0.000 0.500 0.000
As 0.500 0.000 0.000
Se 0.000 0.000 0.500
Br 0.500 0.500 0.500



--- x ---
Computed, not measured: CrAs2SeBr after structural relaxation at the PBE level of DFT.

Values from the calculation:
Total magnetic moment: 0.60 μB/cell
Mass density: 4.7 Mg/m³

Lattice parameters (Å, degrees): 5.028 5.028 5.064 90.00 90.00 90.00
Atoms (fractional coordinates):
Cr 0.500 0.500 0.500
As 0.000 0.500 0.000
As 0.500 0.000 0.000
Se 0.000 0.000 0.500
Br 0.000 0.000 0.000



--- y ---
Computed, not measured: CrAs2SeBr after structural relaxation at the PBE level of DFT.

Values from the calculation:
Total magnetic moment: 0.18 μB/cell
Mass density: 4.6 Mg/m³

Lattice parameters (Å, degrees): 5.059 5.059 5.051 90.00 90.00 90.00
Atoms (fractional coordinates):
Cr 0.500 0.500 0.500
As 0.000 0.500 0.000
As 0.500 0.000 0.000
Se 0.000 0.000 0.000
Br 0.000 0.000 0.500



--- z ---
Computed, not measured: CrAs2SeBr after structural relaxation at the PBE level of DFT.

Values from the calculation:
Total magnetic moment: 0.06 μB/cell
Mass density: 5.6 Mg/m³

Lattice parameters (Å, degrees): 4.789 4.789 4.627 90.00 90.00 90.00
Atoms (fractional coordinates):
Cr 0.000 0.000 0.000
As 0.000 0.500 0.000
As 0.500 0.000 0.000
Se 0.500 0.500 0.500
Br 0.000 0.000 0.500



Relative stability in meV/atom, measured from the most stable structure: w 0; x 1473; y 1186; z 195



--- w ---
Computed, not measured: CrAsSeBr2 after structural relaxation at the PBE level of DFT.

Values from the calculation:
Total magnetic moment: 0.30 μB/cell
Mass density: 4.2 Mg/m³

Lattice parameters (Å, degrees): 5.238 5.238 5.241 90.00 90.00 90.00
Atoms (fractional coordinates):
Cr 0.500 0.500 0.500
As 0.000 0.000 0.500
Se 0.000 0.000 0.000
Br 0.000 0.500 0.000
Br 0.500 0.000 0.000



--- x ---
Computed, not measured: CrAsSeBr2 after structural relaxation at the PBE level of DFT.

Values from the calculation:
Total magnetic moment: 0.00 μB/cell
Mass density: 5.4 Mg/m³

Lattice parameters (Å, degrees): 4.680 4.680 5.143 90.00 90.00 90.00
Atoms (fractional coordinates):
Cr 0.000 0.000 0.000
As 0.000 0.000 0.500
Se 0.500 0.500 0.500
Br 0.000 0.500 0.000
Br 0.500 0.000 0.000



--- y ---
Computed, not measured: CrAsSeBr2 after structural relaxation at the PBE level of DFT.

Values from the calculation:
Total magnetic moment: 5.00 μB/cell
Mass density: 4.7 Mg/m³

Lattice parameters (Å, degrees): 4.981 4.981 5.158 90.00 90.00 90.00
Atoms (fractional coordinates):
Cr 0.000 0.000 0.000
As 0.500 0.500 0.500
Se 0.000 0.000 0.500
Br 0.000 0.500 0.000
Br 0.500 0.000 0.000



Relative stability in meV/atom, measured from the most stable structure: w 1020; x 205; y 0



--- w ---
Computed, not measured: CrSiAs2Br after structural relaxation at the PBE level of DFT.

Values from the calculation:
Total magnetic moment: 1.96 μB/cell
Mass density: 4.5 Mg/m³

Lattice parameters (Å, degrees): 4.654 4.654 5.281 90.00 90.00 90.00
Atoms (fractional coordinates):
Cr 0.000 0.000 0.000
As 0.000 0.500 0.000
As 0.500 0.000 0.000
Si 0.500 0.500 0.500
Br 0.000 0.000 0.500



--- x ---
Computed, not measured: CrSiAs2Br after structural relaxation at the PBE level of DFT.

Values from the calculation:
Total magnetic moment: 3.66 μB/cell
Mass density: 4.4 Mg/m³

Lattice parameters (Å, degrees): 4.798 4.798 5.097 90.00 90.00 90.00
Atoms (fractional coordinates):
Cr 0.500 0.500 0.500
As 0.000 0.500 0.000
As 0.500 0.000 0.000
Si 0.000 0.000 0.000
Br 0.000 0.000 0.500



Relative stability in meV/atom, measured from the most stable structure: w 0; x 118



--- w ---
Computed, not measured: CrSiAsBr2 after structural relaxation at the PBE level of DFT.

Values from the calculation:
Total magnetic moment: 3.77 μB/cell
Mass density: 4.1 Mg/m³

Lattice parameters (Å, degrees): 5.029 5.029 5.081 90.00 90.00 90.00
Atoms (fractional coordinates):
Cr 0.500 0.500 0.500
As 0.000 0.000 0.500
Si 0.000 0.000 0.000
Br 0.000 0.500 0.000
Br 0.500 0.000 0.000



--- x ---
Computed, not measured: CrSiAsBr2 after structural relaxation at the PBE level of DFT.

Values from the calculation:
Total magnetic moment: 3.09 μB/cell
Mass density: 4.2 Mg/m³

Lattice parameters (Å, degrees): 4.927 4.927 5.093 90.00 90.00 90.00
Atoms (fractional coordinates):
Cr 0.000 0.000 0.000
As 0.000 0.000 0.500
Si 0.500 0.500 0.500
Br 0.000 0.500 0.000
Br 0.500 0.000 0.000



Relative stability in meV/atom, measured from the most stable structure: w 92; x 0



--- w ---
Computed, not measured: SrCrAs2Br after structural relaxation at the PBE level of DFT.

Values from the calculation:
Total magnetic moment: 2.45 μB/cell
Mass density: 4.8 Mg/m³

Lattice parameters (Å, degrees): 4.735 4.735 5.650 90.00 90.00 90.00
Atoms (fractional coordinates):
Sr 0.500 0.500 0.500
As 0.000 0.500 0.000
As 0.500 0.000 0.000
Br 0.000 0.000 0.500
Cr 0.000 0.000 0.000



--- x ---
Computed, not measured: SrCrAs2Br after structural relaxation at the PBE level of DFT.

Values from the calculation:
Total magnetic moment: 2.95 μB/cell
Mass density: 3.1 Mg/m³

Lattice parameters (Å, degrees): 5.846 5.846 5.703 90.00 90.00 90.00
Atoms (fractional coordinates):
Sr 0.000 0.000 0.000
As 0.000 0.500 0.000
As 0.500 0.000 0.000
Br 0.000 0.000 0.500
Cr 0.500 0.500 0.500



Relative stability in meV/atom, measured from the most stable structure: w 0; x 1216



--- w ---
Computed, not measured: TiCrAs2Br after structural relaxation at the PBE level of DFT.

Values from the calculation:
Total magnetic moment: 4.30 μB/cell
Mass density: 4.8 Mg/m³

Lattice parameters (Å, degrees): 4.676 4.676 5.172 90.00 90.00 90.00
Atoms (fractional coordinates):
Cr 0.000 0.000 0.000
As 0.000 0.500 0.000
As 0.500 0.000 0.000
Br 0.000 0.000 0.500
Ti 0.500 0.500 0.500



--- x ---
Computed, not measured: TiCrAs2Br after structural relaxation at the PBE level of DFT.

Values from the calculation:
Total magnetic moment: 4.56 μB/cell
Mass density: 4.4 Mg/m³

Lattice parameters (Å, degrees): 4.864 4.864 5.242 90.00 90.00 90.00
Atoms (fractional coordinates):
Cr 0.500 0.500 0.500
As 0.000 0.500 0.000
As 0.500 0.000 0.000
Br 0.000 0.000 0.500
Ti 0.000 0.000 0.000



Relative stability in meV/atom, measured from the most stable structure: w 126; x 0



--- w ---
Computed, not measured: TlCrAsBr2 after structural relaxation at the PBE level of DFT.

Values from the calculation:
Total magnetic moment: 3.38 μB/cell
Mass density: 4.5 Mg/m³

Lattice parameters (Å, degrees): 5.752 5.752 5.436 90.00 90.00 90.00
Atoms (fractional coordinates):
Cr 0.500 0.500 0.500
Tl 0.000 0.000 0.000
As 0.000 0.000 0.500
Br 0.000 0.500 0.000
Br 0.500 0.000 0.000



--- x ---
Computed, not measured: TlCrAsBr2 after structural relaxation at the PBE level of DFT.

Values from the calculation:
Total magnetic moment: 2.02 μB/cell
Mass density: 5.9 Mg/m³

Lattice parameters (Å, degrees): 5.370 5.370 4.808 90.00 90.00 90.00
Atoms (fractional coordinates):
Cr 0.000 0.000 0.000
Tl 0.500 0.500 0.500
As 0.000 0.000 0.500
Br 0.000 0.500 0.000
Br 0.500 0.000 0.000



Relative stability in meV/atom, measured from the most stable structure: w 852; x 0



--- w ---
Computed, not measured: VCrAs2Br after structural relaxation at the PBE level of DFT.

Values from the calculation:
Total magnetic moment: 5.39 μB/cell
Mass density: 4.9 Mg/m³

Lattice parameters (Å, degrees): 4.623 4.623 5.289 90.00 90.00 90.00
Atoms (fractional coordinates):
Cr 0.000 0.000 0.000
As 0.000 0.500 0.000
As 0.500 0.000 0.000
Br 0.000 0.000 0.500
V 0.500 0.500 0.500



--- x ---
Computed, not measured: VCrAs2Br after structural relaxation at the PBE level of DFT.

Values from the calculation:
Total magnetic moment: 5.48 μB/cell
Mass density: 4.7 Mg/m³

Lattice parameters (Å, degrees): 4.679 4.679 5.411 90.00 90.00 90.00
Atoms (fractional coordinates):
Cr 0.500 0.500 0.500
As 0.000 0.500 0.000
As 0.500 0.000 0.000
Br 0.000 0.000 0.500
V 0.000 0.000 0.000



Relative stability in meV/atom, measured from the most stable structure: w 146; x 0



--- w ---
Computed, not measured: ZrCrAsBr2 after structural relaxation at the PBE level of DFT.

Values from the calculation:
Total magnetic moment: 4.78 μB/cell
Mass density: 4.2 Mg/m³

Lattice parameters (Å, degrees): 5.276 5.276 5.341 90.00 90.00 90.00
Atoms (fractional coordinates):
Cr 0.500 0.500 0.500
As 0.000 0.000 0.500
Br 0.000 0.500 0.000
Br 0.500 0.000 0.000
Zr 0.000 0.000 0.000



--- x ---
Computed, not measured: ZrCrAsBr2 after structural relaxation at the PBE level of DFT.

Values from the calculation:
Total magnetic moment: 5.00 μB/cell
Mass density: 5.2 Mg/m³

Lattice parameters (Å, degrees): 4.879 4.879 5.104 90.00 90.00 90.00
Atoms (fractional coordinates):
Cr 0.000 0.000 0.000
As 0.000 0.000 0.500
Br 0.000 0.500 0.000
Br 0.500 0.000 0.000
Zr 0.500 0.500 0.500



Relative stability in meV/atom, measured from the most stable structure: w 0; x 229



--- w ---
Computed, not measured: CsAsBr3 after structural relaxation at the PBE level of DFT.

Values from the calculation:
Total magnetic moment: 4.04 μB/cell
Mass density: 2.2 Mg/m³

Lattice parameters (Å, degrees): 6.923 6.923 6.923 90.00 90.00 90.00
Atoms (fractional coordinates):
Cs 0.000 0.000 0.000
As 0.500 0.500 0.500
Br 0.000 0.500 0.000
Br 0.000 0.000 0.500
Br 0.500 0.000 0.000



--- x ---
Computed, not measured: CsAsBr3 after structural relaxation at the PBE level of DFT.

Values from the calculation:
Total magnetic moment: 0.00 μB/cell
Mass density: 3.2 Mg/m³

Lattice parameters (Å, degrees): 9.318 9.803 10.330 90.00 78.97 90.00
Atoms (fractional coordinates):
Cs 0.885 0.607 0.259
Cs 0.615 0.107 0.241
Cs 0.115 0.393 0.741
Cs 0.385 0.893 0.759
As 0.433 0.588 0.089
As 0.067 0.088 0.411
As 0.567 0.412 0.911
As 0.933 0.912 0.589
Br 0.126 0.739 0.512
Br 0.374 0.239 0.988
Br 0.874 0.261 0.488
Br 0.626 0.761 0.012
Br 0.000 0.023 0.792
Br 0.500 0.523 0.708
Br 0.000 0.977 0.208
Br 0.500 0.477 0.292
Br 0.691 0.862 0.480
Br 0.809 0.362 0.020
Br 0.309 0.138 0.520
Br 0.191 0.638 0.980



--- y ---
Computed, not measured: CsAsBr3 after structural relaxation at the PBE level of DFT.

Values from the calculation:
Total magnetic moment: 0.00 μB/cell
Mass density: 4.4 Mg/m³

Lattice parameters (Å, degrees): 5.509 5.509 5.509 90.00 90.00 90.00
Atoms (fractional coordinates):
Cs 0.500 0.500 0.500
As 0.000 0.000 0.000
Br 0.000 0.500 0.000
Br 0.000 0.000 0.500
Br 0.500 0.000 0.000



Relative stability in meV/atom, measured from the most stable structure: w 1231; x 0; y 51



--- w ---
Computed, not measured: CsCuAs2Br after structural relaxation at the PBE level of DFT.

Values from the calculation:
Total magnetic moment: 1.09 μB/cell
Mass density: 4.6 Mg/m³

Lattice parameters (Å, degrees): 4.691 4.691 6.971 90.00 90.00 90.00
Atoms (fractional coordinates):
Cs 0.500 0.500 0.500
As 0.000 0.500 0.000
As 0.500 0.000 0.000
Cu 0.000 0.000 0.000
Br 0.000 0.000 0.500



--- x ---
Computed, not measured: CsCuAs2Br after structural relaxation at the PBE level of DFT.

Values from the calculation:
Total magnetic moment: 3.13 μB/cell
Mass density: 2.7 Mg/m³

Lattice parameters (Å, degrees): 6.301 6.301 6.519 90.00 90.00 90.00
Atoms (fractional coordinates):
Cs 0.000 0.000 0.000
As 0.000 0.500 0.000
As 0.500 0.000 0.000
Cu 0.500 0.500 0.500
Br 0.000 0.000 0.500



Relative stability in meV/atom, measured from the most stable structure: w 0; x 1478